Record 1
Material: CaMn2W
Method: DFT, GGA-PBE
State: relaxed

The energy above the most stable polymorph in this dataset is 477 meV/atom. Its energy is -29.829 eV per cell. The energy of formation is 3.47 eV/f.u. The calculation puts the volume at 17.1 Å³/atom. The magnetic moment comes out at 1.390 μB/atom.

Unit cell a=4.5897 b=4.5897 c=4.5897 alpha=60.00 beta=60.00 gamma=60.00
Positions (direct):
Ca 0.0000 0.0000 0.0000
Mn 0.2500 0.2500 0.2500
Mn 0.5000 0.5000 0.5000
W 0.7500 0.7500 0.7500

---

Record 2
Material: NaLaZnPb
Method: DFT, GGA-PBE
State: relaxed

Its energy is -12.416 eV per cell. The energy of formation is -1.19 eV/f.u. The calculation puts the volume at 27.8 Å³/atom. The magnetic moment comes out at 0.000 μB/atom.

Unit cell a=5.3966 b=5.3966 c=5.3966 alpha=60.00 beta=60.00 gamma=60.00
Positions (direct):
Na 0.0000 0.0000 0.0000
La 0.5000 0.5000 0.5000
Zn 0.2500 0.2500 0.2500
Pb 0.7500 0.7500 0.7500

---

Record 3
Material: MgPAu2
Method: DFT, GGA-PBE
State: relaxed

The energy above the most stable polymorph in this dataset is 62 meV/atom. Its energy is -13.952 eV per cell. The energy of formation is -0.39 eV/f.u. The calculation puts the volume at 18.6 Å³/atom. The magnetic moment comes out at 0.000 μB/atom.

Unit cell a=5.5291 b=5.4938 c=3.9581 alpha=69.43 beta=68.48 gamma=42.09
Positions (direct):
Mg 0.0000 0.0000 0.0000
P 0.5000 0.5000 0.5000
Au 0.0000 0.5000 0.5000
Au 0.5000 0.0000 0.0000

---

Record 4
Material: LaCr4Si
Method: DFT, GGA-PBE
State: relaxed

Its energy is -45.977 eV per cell. The calculation puts the volume at 15.1 Å³/atom. The magnetic moment comes out at 0.000 μB/atom. Its uncorrected formation energy is 0.478 eV/atom.

Unit cell a=5.0465 b=5.0465 c=5.0465 alpha=60.00 beta=60.00 gamma=60.00
Positions (direct):
La 0.0000 0.0000 0.0000
Cr 0.3759 0.3759 0.3759
Cr 0.3759 0.3759 0.8723
Cr 0.3759 0.8723 0.3759
Cr 0.8723 0.3759 0.3759
Si 0.7500 0.7500 0.7500

---

Record 5
Material: Nd4HoIn
Method: DFT, GGA-PBE
State: relaxed

The energy above the most stable polymorph in this dataset is 112 meV/atom. Its energy is -53.095 eV per cell. The energy of formation is -0.16 eV/f.u. The calculation puts the volume at 33.1 Å³/atom. The magnetic moment comes out at 0.000 μB/atom.

Unit cell a=11.0918 b=11.0918 c=6.4897 alpha=90.00 beta=90.00 gamma=150.13
Positions (direct):
Nd 0.0443 0.9557 0.5000
Nd 0.1882 0.8118 0.6519
Nd 0.2490 0.7510 0.1866
Nd 0.4382 0.5618 0.3173
Nd 0.5618 0.4382 0.8173
Nd 0.7510 0.2490 0.6866
Nd 0.8118 0.1882 0.1519
Nd 0.9557 0.0443 0.0000
Ho 0.3633 0.6367 0.7980
Ho 0.6367 0.3633 0.2980
In 0.1039 0.8961 0.0514
In 0.8961 0.1039 0.5514

---

Record 6
Material: ReOsBr
Method: DFT, GGA-PBE
State: relaxed

The energy above the most stable polymorph in this dataset is 254 meV/atom. Its energy is -21.387 eV per cell. The calculation puts the volume at 15.8 Å³/atom. The magnetic moment comes out at 0.000 μB/atom. Its uncorrected formation energy is 1.321 eV/atom.

Unit cell a=4.3033 b=4.3033 c=2.9541 alpha=90.00 beta=90.00 gamma=120.00
Positions (direct):
Re 0.0000 0.0000 0.0000
Os 0.6667 0.3333 0.5312
Br 0.3333 0.6667 0.1965

---

Record 7
Material: TlGaAs2
Method: DFT, GGA-PBE
State: relaxed

The energy above the most stable polymorph in this dataset is 296 meV/atom. Its energy is -13.950 eV per cell. The energy of formation is 0.74 eV/f.u. The calculation puts the volume at 24.3 Å³/atom. The magnetic moment comes out at 0.000 μB/atom.

Unit cell a=10.1905 b=10.1905 c=10.1905 alpha=18.90 beta=18.90 gamma=18.90
Positions (direct):
Tl 0.0000 0.0000 0.0000
Ga 0.5000 0.5000 0.5000
As 0.1066 0.1066 0.1066
As 0.8934 0.8934 0.8934

---

Record 8
Material: KCr6Se8
Method: DFT, GGA-PBE
State: relaxed

Its energy is -94.494 eV per cell. The calculation puts the volume at 22.9 Å³/atom. The magnetic moment comes out at 1.267 μB/atom. Its uncorrected formation energy is -0.519 eV/atom.

Unit cell a=7.0018 b=7.0018 c=7.0018 alpha=90.07 beta=90.07 gamma=90.07
Positions (direct):
K 0.0000 0.0000 0.0000
Cr 0.2005 0.5681 0.4024
Cr 0.4024 0.2005 0.5681
Cr 0.4319 0.5976 0.7995
Cr 0.5681 0.4024 0.2005
Cr 0.5976 0.7995 0.4319
Cr 0.7995 0.4319 0.5976
Se 0.1383 0.3940 0.7209
Se 0.2560 0.2560 0.2560
Se 0.2791 0.8617 0.6060
Se 0.3940 0.7209 0.1383
Se 0.6060 0.2791 0.8617
Se 0.7209 0.1383 0.3940
Se 0.7440 0.7440 0.7440
Se 0.8617 0.6060 0.2791

---

Record 9
Material: Sm8HoTh2
Method: DFT, GGA-PBE
State: relaxed

The energy above the most stable polymorph in this dataset is 0 meV/atom. Its energy is -54.999 eV per cell. The energy of formation is 2.17 eV/f.u. The calculation puts the volume at 33.9 Å³/atom. The magnetic moment comes out at 0.000 μB/atom.

Unit cell a=9.3505 b=9.3505 c=6.0097 alpha=105.40 beta=105.40 gamma=122.05
Positions (direct):
Sm 0.1000 0.3332 0.6766
Sm 0.2075 0.7925 0.0000
Sm 0.3332 0.1000 0.6766
Sm 0.4210 0.4210 0.2067
Sm 0.5790 0.5790 0.7933
Sm 0.6668 0.9000 0.3234
Sm 0.7925 0.2075 0.0000
Sm 0.9000 0.6668 0.3234
Ho 0.0000 0.0000 0.0000
Th 0.3072 0.6928 0.5000
Th 0.6928 0.3072 0.5000

---

Record 10
Material: Zr5Al2Cu
Method: DFT, GGA-PBE
State: relaxed

The energy above the most stable polymorph in this dataset is 43 meV/atom. Its energy is -56.028 eV per cell. The energy of formation is -1.71 eV/f.u. The calculation puts the volume at 19.8 Å³/atom. The magnetic moment comes out at 0.000 μB/atom.

Unit cell a=8.9509 b=8.9509 c=8.9509 alpha=151.94 beta=151.94 gamma=40.11
Positions (direct):
Zr 0.0000 0.0000 0.0000
Zr 0.1288 0.6288 0.5000
Zr 0.3712 0.8712 0.5000
Zr 0.6288 0.1288 0.5000
Zr 0.8712 0.3712 0.5000
Al 0.2499 0.2499 0.0000
Al 0.7501 0.7501 0.0000
Cu 0.5000 0.5000 0.0000

---

Record 11
Material: Th2FeCo3As4
Method: DFT, GGA-PBE
State: relaxed

Its energy is -70.820 eV per cell. The energy of formation is -7.60 eV/f.u. The calculation puts the volume at 16.4 Å³/atom. The magnetic moment comes out at 0.109 μB/atom.

Unit cell a=4.1924 b=4.1924 c=9.3478 alpha=90.00 beta=90.00 gamma=90.00
Positions (direct):
Th 0.0000 0.5000 0.2462
Th 0.5000 0.0000 0.7538
Fe 0.5000 0.5000 0.0000
Co 0.0000 0.0000 0.0000
Co 0.0000 0.5000 0.6145
Co 0.5000 0.0000 0.3855
As 0.0000 0.0000 0.5000
As 0.0000 0.5000 0.8697
As 0.5000 0.0000 0.1303
As 0.5000 0.5000 0.5000

---

Record 12
Material: TaCd2Ag
Method: DFT, GGA-PBE
State: relaxed

The energy above the most stable polymorph in this dataset is 160 meV/atom. Its energy is -15.296 eV per cell. The energy of formation is 1.24 eV/f.u. The calculation puts the volume at 19.4 Å³/atom. The magnetic moment comes out at 0.000 μB/atom.

Unit cell a=2.8698 b=4.6006 c=5.9864 alpha=90.00 beta=101.22 gamma=90.00
Positions (direct):
Ta 0.0000 0.0000 0.0000
Cd 0.3805 0.5000 0.7755
Cd 0.3845 0.0000 0.4926
Ag 0.6975 0.5000 0.2591